No. 1
The following is a PBE-GGA calculation of a relaxed NbCoGeOs crystal, from OQMD.

Computed properties:
E above lowest polymorph   0 meV/atom
Raw total energy   -33.43 eV/cell

abc: 4.352 4.352 4.352
angles: 60.00 60.00 60.00
Fractional coordinates of all 4 atoms:
Co (0.750, 0.750, 0.750)
Ge (0.000, 0.000, 0.000)
Nb (0.500, 0.500, 0.500)
Os (0.250, 0.250, 0.250)

No. 2
The following is a PBE-GGA calculation of a relaxed Be2AsW crystal, from OQMD.

Computed properties:
Raw total energy   -22.35 eV/cell

abc: 4.188 4.188 4.188
angles: 60.00 60.00 60.00
Last column: magnetic moment on the atom in μB.
Fractional coordinates of all 4 atoms:
As (0.500, 0.500, 0.500)  0.00
Be (0.000, 0.000, 0.000)  0.01
Be (0.750, 0.750, 0.750)  0.00
W (0.250, 0.250, 0.250)  0.07

No. 3
The following is a PBE-GGA calculation of a relaxed Zr4GePC2 crystal, from OQMD.

Computed properties:
Raw total energy   -70.18 eV/cell

abc: 3.407 3.407 12.977
angles: 90.00 90.00 120.00
Fractional coordinates of all 8 atoms:
C (0.000, 0.000, 0.240)
C (0.000, 0.000, 0.760)
Ge (0.333, 0.667, 0.500)
P (0.667, 0.333, 0.000)
Zr (0.333, 0.667, 0.139)
Zr (0.667, 0.333, 0.335)
Zr (0.667, 0.333, 0.665)
Zr (0.333, 0.667, 0.861)

No. 4
The following is a PBE-GGA calculation of a relaxed AcHoTm crystal, from OQMD.

Computed properties:
E above lowest polymorph   0 meV/atom
Raw total energy   -11.10 eV/cell
ΔH_f (0 K)   0.6856 eV/atom

abc: 5.599 5.599 5.599
angles: 60.00 60.00 60.00
Fractional coordinates of all 3 atoms:
Ac (0.250, 0.250, 0.250)
Ho (0.750, 0.750, 0.750)
Tm (0.000, 0.000, 0.000)

No. 5
The following is a PBE-GGA calculation of a relaxed TbSnNO crystal, from OQMD.

Computed properties:
E above lowest polymorph   590 meV/atom
Raw total energy   -52.32 eV/cell

abc: 4.213 4.213 7.494
angles: 90.00 90.00 90.00
Fractional coordinates of all 8 atoms:
N (0.750, 0.750, 0.355)
N (0.250, 0.250, 0.645)
O (0.750, 0.250, 0.000)
O (0.250, 0.750, 0.000)
Sn (0.750, 0.250, 0.500)
Sn (0.250, 0.750, 0.500)
Tb (0.250, 0.250, 0.120)
Tb (0.750, 0.750, 0.880)

No. 6
The following is a PBE-GGA calculation of a relaxed DySnAuS3 crystal, from OQMD.

Computed properties:
E above lowest polymorph   1 meV/atom
Raw total energy   -60.65 eV/cell

abc: 7.385 7.385 10.251
angles: 90.00 90.00 148.00
Fractional coordinates of all 12 atoms:
Au (0.150, 0.850, 0.250)
Au (0.850, 0.150, 0.750)
Dy (0.500, 0.500, 0.000)
Dy (0.500, 0.500, 0.500)
S (0.131, 0.869, 0.022)
S (0.434, 0.566, 0.250)
S (0.131, 0.869, 0.478)
S (0.869, 0.131, 0.522)
S (0.566, 0.434, 0.750)
S (0.869, 0.131, 0.978)
Sn (0.807, 0.193, 0.250)
Sn (0.193, 0.807, 0.750)

No. 7
The following is a PBE-GGA calculation of a relaxed CdO crystal, from OQMD.

Computed properties:
Raw total energy   -23.06 eV/cell

abc: 5.736 5.736 5.736
angles: 116.83 116.83 116.83
Fractional coordinates of all 6 atoms:
Cd (0.997, 0.997, 0.682)
Cd (0.997, 0.682, 0.997)
Cd (0.682, 0.997, 0.997)
O (0.612, 0.300, 0.300)
O (0.300, 0.612, 0.300)
O (0.300, 0.300, 0.612)

No. 8
The following is a PBE-GGA calculation of a relaxed ErCO3 crystal, from OQMD.

Computed properties:
Raw total energy   -156.32 eV/cell

abc: 5.469 4.793 7.946
angles: 90.00 104.51 90.00
Last column: magnetic moment on the atom in μB.
Fractional coordinates of all 20 atoms:
C (0.195, 0.742, 0.030)  0.31
C (0.805, 0.242, 0.470)  0.31
C (0.195, 0.758, 0.530)  0.31
C (0.805, 0.258, 0.970)  0.31
Er (0.731, 0.749, 0.169)  0.13
Er (0.269, 0.249, 0.331)  0.14
Er (0.731, 0.751, 0.669)  0.14
Er (0.269, 0.251, 0.831)  0.13
O (0.315, 0.985, 0.088)  0.09
O (0.333, 0.513, 0.101)  0.08
O (0.879, 0.272, 0.148)  0.09
O (0.121, 0.772, 0.352)  0.09
O (0.667, 0.013, 0.399)  0.08
O (0.685, 0.485, 0.412)  0.09
O (0.315, 0.515, 0.588)  0.09
O (0.333, 0.987, 0.601)  0.08
O (0.879, 0.228, 0.648)  0.09
O (0.121, 0.728, 0.852)  0.09
O (0.667, 0.487, 0.899)  0.08
O (0.685, 0.015, 0.912)  0.09

No. 9
The following is a PBE-GGA calculation of a relaxed Er4GaPbC2 crystal, from OQMD.

Computed properties:
Raw total energy   -47.13 eV/cell

abc: 3.570 3.570 15.700
angles: 90.00 90.00 120.00
Fractional coordinates of all 8 atoms:
C (0.333, 0.667, 0.244)
C (0.333, 0.667, 0.756)
Er (0.667, 0.333, 0.155)
Er (0.000, 0.000, 0.325)
Er (0.000, 0.000, 0.675)
Er (0.667, 0.333, 0.845)
Ga (0.000, 0.000, 0.000)
Pb (0.667, 0.333, 0.500)

No. 10
The following is a PBE-GGA calculation of a relaxed Zn crystal, from OQMD.

Computed properties:
E above lowest polymorph   82 meV/atom
Raw total energy   -1.18 eV/cell
ΔH_f (0 K)   0.0821 eV/atom

abc: 2.696 2.696 2.696
angles: 109.47 109.47 109.47
Fractional coordinates of all 1 atoms:
Zn (0.000, 0.000, 0.000)

No. 11
The following is a PBE-GGA calculation of a relaxed BaZn crystal, from OQMD.

Computed properties:
Raw total energy   -15.76 eV/cell

abc: 6.017 10.059 5.847
angles: 90.00 90.00 72.48
Fractional coordinates of all 10 atoms:
Ba (0.872, 0.344, 0.000)
Ba (0.196, 0.600, 0.000)
Ba (0.615, 0.856, 0.000)
Ba (0.451, 0.356, 0.500)
Ba (0.206, 0.844, 0.500)
Zn (0.029, 0.008, 0.000)
Zn (0.439, 0.193, 0.000)
Zn (0.636, 0.023, 0.500)
Zn (0.061, 0.177, 0.500)
Zn (0.828, 0.599, 0.500)

No. 12
The following is a PBE-GGA calculation of a relaxed RbSm2CuTeS3 crystal, from OQMD.

Computed properties:
Raw total energy   -83.24 eV/cell

abc: 7.478 7.478 14.335
angles: 90.00 90.00 147.77
Fractional coordinates of all 16 atoms:
Cu (0.336, 0.664, 0.250)
Cu (0.664, 0.336, 0.750)
Rb (0.635, 0.365, 0.250)
Rb (0.365, 0.635, 0.750)
S (0.500, 0.500, 0.000)
S (0.249, 0.751, 0.108)
S (0.249, 0.751, 0.392)
S (0.500, 0.500, 0.500)
S (0.751, 0.249, 0.608)
S (0.751, 0.249, 0.892)
Sm (0.867, 0.133, 0.051)
Sm (0.867, 0.133, 0.449)
Sm (0.133, 0.867, 0.551)
Sm (0.133, 0.867, 0.949)
Te (0.945, 0.055, 0.250)
Te (0.055, 0.945, 0.750)

No. 13
The following is a PBE-GGA calculation of a relaxed ReAgPb crystal, from OQMD.

Computed properties:
E above lowest polymorph   0 meV/atom
Raw total energy   -15.46 eV/cell

abc: 4.584 4.584 4.584
angles: 60.00 60.00 60.00
Fractional coordinates of all 3 atoms:
Ag (0.250, 0.250, 0.250)
Pb (0.750, 0.750, 0.750)
Re (0.000, 0.000, 0.000)

No. 14
The following is a PBE-GGA calculation of a relaxed RbPmSO crystal, from OQMD.

Computed properties:
E above lowest polymorph   17 meV/atom
Raw total energy   -94.41 eV/cell

abc: 5.870 5.864 11.794
angles: 90.00 104.18 90.00
Fractional coordinates of all 16 atoms:
O (0.250, 0.113, 0.000)
O (0.750, 0.613, 0.000)
O (0.750, 0.113, 0.000)
O (0.250, 0.613, 0.000)
Pm (0.547, 0.363, 0.097)
Pm (0.048, 0.864, 0.097)
Pm (0.952, 0.364, 0.903)
Pm (0.453, 0.863, 0.903)
Rb (0.945, 0.112, 0.395)
Rb (0.446, 0.612, 0.396)
Rb (0.554, 0.112, 0.604)
Rb (0.055, 0.612, 0.605)
S (0.390, 0.112, 0.282)
S (0.890, 0.612, 0.282)
S (0.110, 0.112, 0.718)
S (0.610, 0.612, 0.718)

No. 15
The following is a PBE-GGA calculation of a relaxed DyFe12 crystal, from OQMD.

Computed properties:
Raw total energy   -104.27 eV/cell
ΔH_f (0 K)   0.0030 eV/atom

abc: 6.328 6.328 6.328
angles: 97.65 97.65 137.19
Last column: magnetic moment on the atom in μB.
Fractional coordinates of all 13 atoms:
Dy (0.000, 0.000, 0.000)  -0.42
Fe (0.500, 0.000, 0.000)  1.64
Fe (0.000, 0.500, 0.000)  1.66
Fe (0.726, 0.500, 0.226)  2.10
Fe (0.500, 0.726, 0.226)  2.10
Fe (0.359, 0.000, 0.359)  2.38
Fe (0.000, 0.359, 0.359)  2.39
Fe (0.000, 0.000, 0.500)  1.65
Fe (0.500, 0.500, 0.500)  1.65
Fe (0.641, 0.000, 0.641)  2.38
Fe (0.000, 0.641, 0.641)  2.39
Fe (0.274, 0.500, 0.774)  2.10
Fe (0.500, 0.274, 0.774)  2.10

No. 16
The following is a PBE-GGA calculation of a relaxed CuGeB2 crystal, from OQMD.

Computed properties:
Raw total energy   -15.97 eV/cell

abc: 4.001 4.001 4.001
angles: 60.00 60.00 60.00
Fractional coordinates of all 4 atoms:
B (0.000, 0.000, 0.000)
B (0.750, 0.750, 0.750)
Cu (0.250, 0.250, 0.250)
Ge (0.500, 0.500, 0.500)

No. 17
The following is a PBE-GGA calculation of a relaxed SrPrHg6 crystal, from OQMD.

Computed properties:
Raw total energy   -11.37 eV/cell

abc: 6.796 6.796 5.162
angles: 90.00 90.00 120.00
Fractional coordinates of all 8 atoms:
Hg (0.012, 0.506, 0.000)
Hg (0.494, 0.506, 0.000)
Hg (0.494, 0.988, 0.000)
Hg (0.170, 0.340, 0.500)
Hg (0.170, 0.830, 0.500)
Hg (0.660, 0.830, 0.500)
Pr (0.000, 0.000, 0.000)
Sr (0.667, 0.333, 0.500)

No. 18
The following is a PBE-GGA calculation of a relaxed Ho3SbCl crystal, from OQMD.

Computed properties:
Raw total energy   -22.19 eV/cell

abc: 5.078 5.078 5.078
angles: 90.00 90.00 90.00
Fractional coordinates of all 5 atoms:
Cl (0.500, 0.500, 0.500)
Ho (0.500, 0.500, 0.000)
Ho (0.500, 0.000, 0.500)
Ho (0.000, 0.500, 0.500)
Sb (0.000, 0.000, 0.000)

No. 19
The following is a PBE-GGA calculation of a relaxed AsIrOsO crystal, from OQMD.

Computed properties:
E above lowest polymorph   106 meV/atom
Raw total energy   -57.99 eV/cell

abc: 3.981 5.610 5.403
angles: 90.00 90.00 90.00
Fractional coordinates of all 8 atoms:
As (0.000, 0.799, 0.390)
As (0.000, 0.201, 0.890)
Ir (0.500, 0.443, 0.048)
Ir (0.500, 0.557, 0.548)
O (0.500, 0.231, 0.361)
O (0.500, 0.769, 0.861)
Os (0.000, 0.232, 0.455)
Os (0.000, 0.768, 0.955)

No. 20
The following is a PBE-GGA calculation of a relaxed BeAgBiPd crystal, from OQMD.

Computed properties:
E above lowest polymorph   0 meV/atom
Raw total energy   -14.79 eV/cell

abc: 4.675 4.675 4.675
angles: 60.00 60.00 60.00
Fractional coordinates of all 4 atoms:
Ag (0.000, 0.000, 0.000)
Be (0.750, 0.750, 0.750)
Bi (0.250, 0.250, 0.250)
Pd (0.500, 0.500, 0.500)

No. 21
The following is a PBE-GGA calculation of a relaxed YFeSnOs crystal, from OQMD.

Computed properties:
E above lowest polymorph   206 meV/atom
Raw total energy   -28.84 eV/cell

abc: 4.746 4.746 4.746
angles: 60.00 60.00 60.00
Fractional coordinates of all 4 atoms:
Fe (0.750, 0.750, 0.750)
Os (0.500, 0.500, 0.500)
Sn (0.000, 0.000, 0.000)
Y (0.250, 0.250, 0.250)

No. 22
The following is a PBE-GGA calculation of a relaxed Tm3Si2H4O9 crystal, from OQMD.

Computed properties:
Raw total energy   -120.13 eV/cell

abc: 5.423 5.423 7.712
angles: 90.00 90.00 120.00
Fractional coordinates of all 18 atoms:
H (0.645, 0.000, 0.576)
H (0.355, 0.355, 0.576)
H (0.000, 0.645, 0.576)
H (0.000, 0.000, 0.943)
O (0.000, 0.000, 0.071)
O (0.667, 0.333, 0.082)
O (0.333, 0.667, 0.082)
O (0.663, 0.000, 0.449)
O (0.337, 0.337, 0.449)
O (0.000, 0.663, 0.449)
O (0.509, 0.000, 0.798)
O (0.491, 0.491, 0.798)
O (0.000, 0.509, 0.798)
Si (0.667, 0.333, 0.873)
Si (0.333, 0.667, 0.873)
Tm (0.326, 0.000, 0.270)
Tm (0.000, 0.326, 0.270)
Tm (0.674, 0.674, 0.270)

No. 23
The following is a PBE-GGA calculation of a relaxed Na2Tc2O5 crystal, from OQMD.

Computed properties:
E above lowest polymorph   0 meV/atom
Raw total energy   -60.54 eV/cell

abc: 7.052 3.845 3.845
angles: 90.00 90.00 90.00
Fractional coordinates of all 9 atoms:
Na (0.000, 0.000, 0.000)
Na (0.500, 0.000, 0.000)
O (0.207, 0.500, 0.000)
O (0.793, 0.500, 0.000)
O (0.207, 0.000, 0.500)
O (0.793, 0.000, 0.500)
O (0.500, 0.500, 0.500)
Tc (0.216, 0.500, 0.500)
Tc (0.784, 0.500, 0.500)

No. 24
The following is a PBE-GGA calculation of a relaxed MgSc2OsC crystal, from OQMD.

Computed properties:
Raw total energy   -36.65 eV/cell

abc: 4.624 4.624 3.929
angles: 90.00 90.00 90.00
Fractional coordinates of all 5 atoms:
C (0.000, 0.000, 0.000)
Mg (0.500, 0.500, 0.500)
Os (0.000, 0.000, 0.500)
Sc (0.500, 0.000, 0.000)
Sc (0.000, 0.500, 0.000)